A plane-wave DFT calculation with PBE was carried out for a relaxed Li2ReOs crystal.

Lattice parameters (Å, degrees): 2.6798 2.6798 9.4317 90.00 90.00 115.41
Atoms (fractional coordinates):
Os 0.0000 0.0000 0.5072
Li 0.5000 0.5000 0.2681
Li 0.0000 0.0000 0.9860
Re 0.5000 0.5000 0.7387

Energy above the most stable polymorph in this dataset, meV/atom: 159
Space group: Cmm2 (35)
ΔH_f (0 K), meV/atom: 273